The following is a DFT calculation (GGA-PBE) of a relaxed structure of La6NdSm5.

Computed properties:
Space group ... C2/m, No. 12
DOS at the Fermi energy ... 19.72 states/eV/f.u.
Total energy ... -4.812 eV/atom

a = 11.5365 Å, b = 5.2500 Å, c = 8.3288 Å
α = 71.63°, β = 81.72°, γ = 62.81°
Last column: nearest neighbours and their distance in Å.
Element x y z (fractional)
Sm 0.5000 0.1666 0.6668  8 La 3.66-3.67, 4 Sm 3.72
Sm 0.5000 0.5000 0.0000  8 La 3.66-3.68, 4 Sm 3.72
Sm 0.0000 0.6671 0.6658  8 La 3.67-3.69, 2 Sm 3.71, 2 Nd 3.72
Sm 0.0000 0.3329 0.3342  8 La 3.67-3.69, 2 Sm 3.71, 2 Nd 3.72
Sm 0.5000 0.8334 0.3332  8 La 3.66-3.67, 4 Sm 3.72
La 0.2504 0.9163 0.6663  7 Sm 3.66-3.68, 1 Nd 3.68, 4 La 3.72
La 0.7496 0.4174 0.6663  7 Sm 3.66-3.68, 1 Nd 3.68, 4 La 3.72
La 0.2504 0.5826 0.3337  7 Sm 3.66-3.68, 1 Nd 3.68, 4 La 3.72
La 0.7492 0.7508 0.0000  6 Sm 3.66-3.69, 2 Nd 3.67-3.68, 4 La 3.72
La 0.2508 0.2492 0.0000  6 Sm 3.66-3.69, 2 Nd 3.67-3.68, 4 La 3.72
La 0.7496 0.0837 0.3337  7 Sm 3.66-3.68, 1 Nd 3.68, 4 La 3.72
Nd 0.0000 0.0000 0.0000  8 La 3.67-3.68, 4 Sm 3.72